# Pm2Y3In3 (PBE, optimized geometry)
data_Pm2Y3In3
_chemical_formula_sum 'Pm2 Y3 In3'
_cell_length_a 4.485
_cell_length_b 4.927
_cell_length_c 10.829
_cell_angle_alpha 103.15
_cell_angle_beta 101.95
_cell_angle_gamma 90.00
_space_group_name_H-M_alt 'P 1'
_space_group_IT_number 1
_space_group_name_Hall 'P 1'
loop_
_atom_site_label
_atom_site_type_symbol
_atom_site_fract_x
_atom_site_fract_y
_atom_site_fract_z
Y1 Y 0.500 0.000 0.000
Y2 Y 0.617 0.617 0.235
Y3 Y 0.383 0.383 0.765
In1 In 0.000 0.500 0.000
In2 In 0.122 0.122 0.245
In3 In 0.878 0.878 0.755
Pm1 Pm 0.738 0.238 0.477
Pm2 Pm 0.262 0.762 0.523
# Total magnetization (μB/cell): 0.00
# Energy of formation (kJ per mole of atoms): -35.8
# DOS(E_F) (states/eV/f.u.): 7.74
# Symmetry: Immm
# Energy above the most stable polymorph in this dataset (meV per atom): 0